(1)
The following is a GGA-PBE calculation of a relaxed ScNiMo crystal, from Alexandria via LeMat-Bulk.

Cell and atoms, written as POSCAR:
```
ScNiMo
1.0
2.8951 0.0016 -0.0025
1.3759 5.3504 -0.0003
0.5508 1.2736 6.1792
Ni Mo Sc
2 2 2
Cartesian
3.0397 0.9905 0.5809
0.6137 0.9888 4.4841
2.1026 3.1282 4.6899
1.5568 2.3121 2.3288
3.4706 4.9110 2.8615
2.8761 3.9505 0.1120
```

Theoretical density   6.93 g/cm3
Energy relative to the elements   -0.0508 eV per atom
D(E_F)   4.33 states/eV per cell

---

(2)
The following is a GGA-PBE calculation of a relaxed TlSi2Se crystal, from Alexandria via LeMat-Bulk.

Cell and atoms, written as POSCAR:
```
TlSi2Se
1.0
-1.2453 1.5482 -2.7643
2.5048 -2.2518 -0.4942
-5.7388 -6.1902 -0.8815
Si Se Tl
2 1 1
Cartesian
-5.5636 -6.0013 -0.8546
-3.0445 -3.2840 -0.4677
-3.6743 -4.9944 -2.2904
-0.8049 -1.8994 -1.8496
```

Theoretical density   6.43 g/cm3
E_form (uncorrected)   0.54 eV/atom
D(E_F)   1.80 states/eV per cell

---

(3)
The following is a GGA-PBE calculation of a relaxed Li2LaMo crystal, from Alexandria via LeMat-Bulk.

Cell and atoms, written as POSCAR:
```
Li2LaMo
1.0
-5.6317 -0.8705 -2.3749
-1.1571 -1.8109 -5.7875
2.6807 -1.0520 5.4608
Li Mo La
2 1 1
Cartesian
-3.5675 -1.4091 -4.2893
-6.6157 -2.6131 -7.9543
-3.1727 -1.6316 -0.4976
-0.9354 -2.1018 -2.2039
```

Theoretical density   4.94 g/cm3
Energy relative to the elements   0.4121 eV per atom
D(E_F)   3.55 states/eV per cell

---

| no. | total energy (eV for the cell shown) |
| --- | --- |
| 1 | -46.19 |
| 2 | -14.52 |
| 3 | -17.94 |